No. 1
Tb3PmTl | PBE-GGA | optimized geometry

Cell and atoms, written as extended XYZ:
```
10
Lattice="5.314 0.000 0.000 0.000 7.694 0.000 0.000 0.000 7.879" Properties=species:S:1:pos:R:3 pbc="T T T"
Tb 1.328 0.282 1.701
Tb 1.328 1.923 5.538
Tb 1.328 3.565 1.701
Tb 3.985 4.129 6.178
Tb 3.985 5.770 2.341
Tb 3.985 7.412 6.178
Pm 1.328 5.770 4.415
Pm 3.985 1.923 3.464
Tl 1.328 5.770 7.446
Tl 3.985 1.923 0.433
```

Crystal system: orthorhombic
SG: Pmmn
Energy above the most stable polymorph in this dataset in meV/atom: 0.0

=====

No. 2
Tb4Pm3Tl4 | PBE-GGA | optimized geometry

Cell and atoms, written as extended XYZ:
```
11
Lattice="-1.857 2.621 17.368 1.857 -2.621 17.368 1.857 2.621 -17.368" Properties=species:S:1:pos:R:3 pbc="T T T"
Tb 0.000 0.000 3.234
Tb 1.857 0.000 9.212
Tb 0.000 2.621 8.156
Tb 0.000 0.000 31.503
Pm 1.857 0.000 0.000
Pm 0.000 0.000 12.377
Pm 0.000 0.000 22.360
Tl 0.000 0.000 6.358
Tl 1.857 0.000 15.749
Tl 0.000 2.621 1.620
Tl 0.000 0.000 28.379
```

Crystal system: orthorhombic
SG: Immm

=====

No. 3
Tb3Pm12Tl | PBE-GGA | optimized geometry

Cell and atoms, written as extended XYZ:
```
16
Lattice="5.066 0.000 0.000 0.000 5.066 0.000 0.000 0.000 20.594" Properties=species:S:1:pos:R:3 pbc="T T T"
Tb 0.000 0.000 0.000
Tb 0.000 0.000 5.184
Tb 0.000 0.000 15.410
Pm 0.000 2.533 2.600
Pm 0.000 2.533 7.795
Pm 0.000 2.533 12.799
Pm 0.000 2.533 17.994
Pm 2.533 0.000 2.600
Pm 2.533 0.000 7.795
Pm 2.533 0.000 12.799
Pm 2.533 0.000 17.994
Pm 2.533 2.533 0.000
Pm 2.533 2.533 5.226
Pm 2.533 2.533 10.297
Pm 2.533 2.533 15.368
Tl 0.000 0.000 10.297
```

Crystal system: tetragonal
SG: P4/mmm

=====

No. 4
TbPm4Tl5 | PBE-GGA | optimized geometry

Cell and atoms, written as extended XYZ:
```
10
Lattice="3.835 0.000 0.000 0.000 3.835 0.000 0.000 0.000 19.620" Properties=species:S:1:pos:R:3 pbc="T T T"
Tb 0.000 0.000 0.000
Pm 0.000 0.000 3.860
Pm 0.000 0.000 7.830
Pm 0.000 0.000 11.790
Pm 0.000 0.000 15.761
Tl 1.917 1.917 1.869
Tl 1.917 1.917 5.843
Tl 1.917 1.917 9.810
Tl 1.917 1.917 13.777
Tl 1.917 1.917 17.752
```

Crystal system: tetragonal
SG: P4/mmm

=====

| no. | energy of formation from the pure elements (eV per atom) | theoretical density (g/cm³) |
| --- | --- | --- |
| 1 | -0.03 | 8.5 |
| 2 | -0.16 | 9.3 |
| 3 | -0.03 | 7.6 |
| 4 | -0.38 | 10.1 |